1.
! GGA-PBEsol NaMnAsO4, optimized geometry; values from VASP
! SG: Pnma
! formation energy without anion corrections: -1465.6 meV/atom
&SYSTEM
  ibrav = 0, nat = 28, ntyp = 4
/
ATOMIC_SPECIES
O 16.00 O.upf
Na 22.99 Na.upf
Mn 54.94 Mn.upf
As 74.92 As.upf
ATOMIC_POSITIONS crystal
O 0.7028 0.4588 0.1790
O 0.7748 0.7500 0.8873
O 0.3332 0.7500 0.0452
O 0.1668 0.7500 0.5452
O 0.2028 0.5412 0.3210
O 0.2972 0.5412 0.8210
O 0.6668 0.2500 0.9548
O 0.7252 0.7500 0.3873
O 0.7972 0.0412 0.6790
O 0.7972 0.4588 0.6790
O 0.8332 0.2500 0.4548
O 0.2972 0.9588 0.8210
O 0.2028 0.9588 0.3210
O 0.2748 0.2500 0.6127
O 0.7028 0.0412 0.1790
O 0.2252 0.2500 0.1127
Na 0.5000 0.5000 0.5000
Na 0.5000 0.0000 0.5000
Na 0.0000 0.5000 0.0000
Na 0.0000 0.0000 0.0000
Mn 0.0046 0.2500 0.2806
Mn 0.9954 0.7500 0.7194
Mn 0.5046 0.7500 0.2194
Mn 0.4954 0.2500 0.7806
As 0.0536 0.7500 0.3949
As 0.4464 0.7500 0.8949
As 0.9464 0.2500 0.6051
As 0.5536 0.2500 0.1051
CELL_PARAMETERS angstrom
5.1799 0.0000 0.0000
0.0000 6.3697 0.0000
0.0000 0.0000 10.7781

2.
! GGA-PBEsol OsSe3I, optimized geometry; values from VASP
! SG: Pm-3m
! formation energy without anion corrections: 2083.1 meV/atom
&SYSTEM
  ibrav = 0, nat = 5, ntyp = 3
/
ATOMIC_SPECIES
Se 78.96 Se.upf
Os 190.23 Os.upf
I 126.90 I.upf
ATOMIC_POSITIONS crystal
Se 0.0000 0.5000 0.0000
Se 0.5000 0.0000 0.0000
Se 0.0000 0.0000 0.5000
Os 0.5000 0.5000 0.5000
I 0.0000 0.0000 0.0000
CELL_PARAMETERS angstrom
5.2415 0.0000 0.0000
0.0000 5.2415 0.0000
0.0000 0.0000 5.2415